VASP calculation (GGA-PBE) on an optimized crystal structure of Ac4TbEr3Bi8.

Cell and atoms, written as POSCAR:
```
Ac4TbEr3Bi8
1.0
9.350 0.000 0.000
0.000 9.331 -0.019
-4.675 -4.671 6.615
Er Bi Ac Tb
3 8 4 1
direct
0.500 0.500 0.000 Er
0.000 0.500 0.500 Er
0.500 0.500 0.500 Er
0.259 0.274 0.017 Bi
0.258 0.275 0.517 Bi
0.757 0.274 0.515 Bi
0.757 0.274 0.017 Bi
0.243 0.726 0.983 Bi
0.742 0.725 0.483 Bi
0.741 0.726 0.983 Bi
0.243 0.726 0.485 Bi
0.500 0.000 0.500 Ac
0.500 0.000 0.000 Ac
0.000 0.000 0.500 Ac
0.000 0.000 0.000 Ac
0.000 0.500 0.000 Tb
```

Summary:
- energy of formation (eV per formula unit) = -14.37
- space-group type = R-3m, No. 166
- spin magnetization (μB per formula unit) = 0.00